1.
DFT (PBE-GGA) results for a relaxed FeSiSb2I crystal.

```
FeSiSb2I
1.0
4.8027 0.0000 0.0000
0.0000 4.8027 0.0000
0.0000 0.0000 5.5900
Fe Si Sb I
1 1 2 1
Direct
0.0000 0.0000 0.0000 Fe
0.5000 0.5000 0.5000 Si
0.0000 0.5000 0.0000 Sb
0.5000 0.0000 0.0000 Sb
0.0000 0.0000 0.5000 I
```

Distance to the lowest polymorph of the same formula: 0.0000 eV/atom
Mass density: 5.9 Mg/m³
Raw total energy: -3.986 eV per atom



2.
DFT (PBE-GGA) results for a relaxed PmNiHg crystal.

```
PmNiHg
1.0
-1.7994 1.7994 4.9560
1.7994 -1.7994 4.9560
1.7994 1.7994 -4.9560
Pm Ni Hg
1 1 1
Direct
0.0000 0.0000 0.0000 Pm
0.3446 0.3446 0.0000 Ni
0.6968 0.6968 0.0000 Hg
```

Distance to the lowest polymorph of the same formula: 0.2020 eV/atom
Mass density: 10.5 Mg/m³
Raw total energy: -3.840 eV per atom
Energy relative to the elements: -0.229 eV/atom